The following is a PBE with a Hubbard U calculation of an optimized crystal structure of NaVOF2, from the Alexandria database.

The structure in extended XYZ format:
```
5
Lattice="-2.707 -1.711 -2.151 0.671 -3.340 1.812 -2.943 0.991 2.915" Properties=species:S:1:pos:R:3 pbc="T T T"
Na 0.000 0.000 0.000
F 0.335 -1.670 0.906
F -1.354 -0.856 -1.076
O -1.471 0.495 1.458
V -2.490 -2.030 1.288
```

* space-group type: P4/mmm (123)
* size of the total moment: 2.0 μB per formula unit
* relative energy among the computed polymorphs: 1.4429 eV/atom